Entry 1:
20
Lattice="8.243 0.000 0.000 0.000 3.899 0.000 -0.454 0.000 8.558" Properties=species:S:1:pos:R:3 comment="Cu6AgPt3 PBE optimized geometry" total_energy_ry_per_atom=-0.341 volume_a3_per_atom=13.8 rho_g_cm3=12.971 ef_kj_per_mol_atoms=-8.6 dos_ef_per_ev_fu=5.400 pbc="T T T"
Cu 0.222 0.975 3.481
Cu 1.126 2.925 1.801
Cu 0.947 0.975 5.988
Cu 1.648 0.975 8.540
Cu 2.556 2.925 6.845
Cu 3.440 0.975 5.149
Cu 4.349 2.925 3.409
Cu 5.233 0.975 1.713
Cu 6.141 2.925 0.018
Cu 6.842 2.925 2.570
Cu 6.663 0.975 6.757
Cu 7.566 2.925 5.077
Ag 0.031 2.925 7.657
Ag 7.758 0.975 0.901
Pt 1.799 2.925 4.380
Pt 2.708 0.975 2.597
Pt 3.633 2.925 0.862
Pt 4.156 0.975 7.696
Pt 5.081 2.925 5.961
Pt 5.990 0.975 4.178



Entry 2:
8
Lattice="8.705 0.000 0.000 0.000 2.792 0.000 -0.853 0.000 4.825" Properties=species:S:1:pos:R:3 comment="Cu2AgPt PBE optimized geometry" total_energy_ry_per_atom=-0.314 volume_a3_per_atom=14.7 rho_g_cm3=12.180 ef_kj_per_mol_atoms=-0.4 dos_ef_per_ev_fu=1.093 e_above_lowest_polymorph_ev_per_atom=0.063 pbc="T T T"
Cu 1.945 0.000 1.126
Cu 1.555 1.396 3.699
Cu 6.297 1.396 1.126
Cu 5.908 0.000 3.699
Ag -0.427 0.000 2.412
Ag 3.926 1.396 2.412
Pt 0.000 1.396 0.000
Pt 4.353 0.000 0.000



Entry 3:
10
Lattice="2.781 0.000 0.000 0.000 2.781 0.000 0.000 0.000 18.270" Properties=species:S:1:pos:R:3 comment="Cu5AgPt4 PBE optimized geometry" total_energy_ry_per_atom=-0.357 volume_a3_per_atom=14.1 rho_g_cm3=14.172 ef_kj_per_mol_atoms=-10.1 dos_ef_per_ev_fu=10.279 pbc="T T T"
Cu 0.000 0.000 0.000
Cu 0.000 0.000 3.616
Cu 0.000 0.000 7.206
Cu 0.000 0.000 11.064
Cu 0.000 0.000 14.654
Ag 1.390 1.390 9.135
Pt 1.390 1.390 1.809
Pt 1.390 1.390 5.429
Pt 1.390 1.390 12.841
Pt 1.390 1.390 16.461